KVTe4 | PBE-GGA | relaxed

Cell lengths 9.0168, 9.0168, 5.6746 Å; angles 99.08, 99.08, 115.22 degrees
Closest atoms and distances in Å follow each position.
Atoms (fractional coordinates):
K (0.1360, 0.8640, 0.7500)  10 Te 3.70-3.89
K (0.8640, 0.1360, 0.2500)  10 Te 3.70-3.89
V (0.5002, 0.4998, 0.2500)  8 Te 2.79-2.81, 2 V 2.84
V (0.4998, 0.5002, 0.7500)  8 Te 2.79-2.81, 2 V 2.84
Te (0.1972, 0.3200, 0.8767)  2 V 2.79-2.81
Te (0.2535, 0.5473, 0.4476)  2 V 2.80-2.81
Te (0.3200, 0.1972, 0.3767)  2 V 2.79-2.81
Te (0.4527, 0.7465, 0.0524)  2 V 2.80-2.81
Te (0.5473, 0.2535, 0.9476)  2 V 2.80-2.81
Te (0.6800, 0.8028, 0.6233)  2 V 2.79-2.81
Te (0.7465, 0.4527, 0.5524)  2 V 2.80-2.81
Te (0.8028, 0.6800, 0.1233)  2 V 2.79-2.81

Computed properties:
**Polymorph energy (0 for the lowest one)**: 15 meV per atom
**Energy relative to the elements, uncorrected**: -0.344 eV per atom
**Total moment**: 0.71 Bohr magnetons per cell
**Calculated volume**: 399 Å³ per cell

=====

K2VTe2 | PBE-GGA | relaxed

Cell lengths 8.7538, 8.7538, 8.7538 Å; angles 127.80, 71.41, 134.90 degrees
Closest atoms and distances in Å follow each position.
Atoms (fractional coordinates):
K (0.1422, 0.1652, 0.3074)  5 Te 3.56-3.71, 2 V 3.68
K (0.3578, 0.6652, 0.0230)  5 Te 3.56-3.71, 2 V 3.68
K (0.6422, 0.3348, 0.9770)  5 Te 3.56-3.71, 2 V 3.68
K (0.8578, 0.8348, 0.6926)  5 Te 3.56-3.71, 2 V 3.68
V (0.2500, 0.7500, 0.5000)  4 Te 2.73
V (0.7500, 0.2500, 0.5000)  4 Te 2.73
Te (0.1076, 0.6967, 0.8043)  2 V 2.73
Te (0.3924, 0.1967, 0.5890)  2 V 2.73
Te (0.6076, 0.8033, 0.4110)  2 V 2.73
Te (0.8924, 0.3033, 0.1957)  2 V 2.73

Computed properties:
**Energy relative to the elements, uncorrected**: -0.658 eV per atom
**Total moment**: 6.00 Bohr magnetons per cell
**Calculated volume**: 368 Å³ per cell

=====

K2V2Te | PBE-GGA | relaxed

Cell lengths 6.9223, 6.9223, 5.9282 Å; angles 90.00, 90.00, 90.00 degrees
Closest atoms and distances in Å follow each position.
Atoms (fractional coordinates):
K (0.2109, 0.2891, 0.0000)  4 K 3.50, 6 V 3.53-3.73, 4 Te 3.86
K (0.2891, 0.7891, 0.0000)  4 K 3.50, 6 V 3.53-3.73, 4 Te 3.86
K (0.7109, 0.2109, 0.0000)  4 K 3.50, 6 V 3.53-3.73, 4 Te 3.86
K (0.7891, 0.7109, 0.0000)  4 K 3.50, 6 V 3.53-3.73, 4 Te 3.86
V (0.0933, 0.5933, 0.5000)  1 V 1.83
V (0.4067, 0.0933, 0.5000)  1 V 1.83
V (0.5933, 0.9067, 0.5000)  1 V 1.83
V (0.9067, 0.4067, 0.5000)  1 V 1.83
Te (0.0000, 0.0000, 0.5000)  4 V 2.89
Te (0.5000, 0.5000, 0.5000)  4 V 2.89

Computed properties:
**Polymorph energy (0 for the lowest one)**: 79 meV per atom
**Energy relative to the elements, uncorrected**: 0.440 eV per atom
**Total moment**: 0.00 Bohr magnetons per cell
**Calculated volume**: 284 Å³ per cell

=====

K2V2Te | PBE-GGA | relaxed

Cell lengths 8.0908, 8.0908, 8.0908 Å; angles 147.85, 147.85, 46.11 degrees
Closest atoms and distances in Å follow each position.
Atoms (fractional coordinates):
K (0.2500, 0.7500, 0.5000)  4 K 3.17
K (0.7500, 0.2500, 0.5000)  4 K 3.17
V (0.0605, 0.0605, 0.0000)  1 V 1.80
V (0.9395, 0.9395, 0.0000)  1 V 1.80
Te (0.5000, 0.5000, 0.0000)  8 V 3.29

Computed properties:
**Polymorph energy (0 for the lowest one)**: 494 meV per atom
**Energy relative to the elements, uncorrected**: 0.855 eV per atom
**Total moment**: 0.48 Bohr magnetons per cell
**Calculated volume**: 149 Å³ per cell

=====

KVTe | PBE-GGA | relaxed

Cell lengths 3.8981, 3.8981, 12.1748 Å; angles 90.00, 90.00, 90.00 degrees
Closest atoms and distances in Å follow each position.
Atoms (fractional coordinates):
K (0.2500, 0.2500, 0.1686)  4 Te 3.51, 4 K 3.90
K (0.7500, 0.7500, 0.8314)  4 Te 3.51, 4 K 3.90
V (0.2500, 0.7500, 0.5000)  4 Te 2.70, 4 V 2.76
V (0.7500, 0.2500, 0.5000)  4 Te 2.70, 4 V 2.76
Te (0.2500, 0.2500, 0.6531)  4 V 2.70
Te (0.7500, 0.7500, 0.3469)  4 V 2.70

Computed properties:
**Energy relative to the elements, uncorrected**: -0.334 eV per atom
**Total moment**: 0.00 Bohr magnetons per cell
**Calculated volume**: 185 Å³ per cell

=====

K2V2Te | PBE-GGA | relaxed

Cell lengths 12.0919, 12.0919, 12.0919 Å; angles 163.85, 163.85, 22.92 degrees
Closest atoms and distances in Å follow each position.
Atoms (fractional coordinates):
K (0.1101, 0.1101, 0.0000)  4 K 3.40, 4 Te 3.55, 4 V 3.73
K (0.8899, 0.8899, 0.0000)  4 K 3.40, 4 Te 3.55, 4 V 3.73
V (0.2500, 0.7500, 0.5000)  4 V 2.40
V (0.7500, 0.2500, 0.5000)  4 V 2.40
Te (0.5000, 0.5000, 0.0000)  4 Te 3.40, 8 K 3.55

Computed properties:
**Polymorph energy (0 for the lowest one)**: 0 meV per atom
**Energy relative to the elements, uncorrected**: 0.361 eV per atom
**Total moment**: 0.00 Bohr magnetons per cell
**Calculated volume**: 137 Å³ per cell

=====

K5V2Te6 | PBE-GGA | relaxed

Cell lengths 8.1869, 8.1869, 18.0578 Å; angles 100.96, 100.96, 64.43 degrees
Closest atoms and distances in Å follow each position.
Atoms (fractional coordinates):
K (0.1301, 0.8699, 0.7500)  4 Te 3.52-3.55
K (0.1801, 0.6974, 0.0006)  5 Te 3.52-3.80
K (0.2363, 0.4390, 0.2681)  5 Te 3.47-3.61
K (0.3026, 0.8199, 0.4994)  5 Te 3.52-3.80
K (0.4390, 0.2363, 0.7681)  5 Te 3.47-3.61
K (0.5610, 0.7637, 0.2319)  5 Te 3.47-3.61
K (0.6974, 0.1801, 0.5006)  5 Te 3.52-3.80
K (0.7637, 0.5610, 0.7319)  5 Te 3.47-3.61
K (0.8199, 0.3026, 0.9994)  5 Te 3.52-3.80
K (0.8699, 0.1301, 0.2500)  4 Te 3.52-3.55
V (0.1164, 0.4228, 0.5643)  4 Te 2.56-2.60, 1 V 2.82
V (0.4228, 0.1164, 0.0643)  4 Te 2.56-2.60, 1 V 2.82
V (0.5772, 0.8836, 0.9357)  4 Te 2.56-2.60, 1 V 2.82
V (0.8836, 0.5772, 0.4357)  4 Te 2.56-2.60, 1 V 2.82
Te (0.0860, 0.1921, 0.6351)  1 V 2.59
Te (0.1715, 0.2714, 0.4264)  2 V 2.59-2.60
Te (0.1921, 0.0860, 0.1351)  1 V 2.59
Te (0.2714, 0.1715, 0.9264)  2 V 2.59-2.60
Te (0.3905, 0.4939, 0.6253)  1 V 2.56
Te (0.4939, 0.3905, 0.1253)  1 V 2.56
Te (0.5061, 0.6095, 0.8747)  1 V 2.56
Te (0.6095, 0.5061, 0.3747)  1 V 2.56
Te (0.7286, 0.8285, 0.0736)  2 V 2.59-2.60
Te (0.8079, 0.9140, 0.8649)  1 V 2.59
Te (0.8285, 0.7286, 0.5736)  2 V 2.59-2.60
Te (0.9140, 0.8079, 0.3649)  1 V 2.59

Computed properties:
**Energy relative to the elements, uncorrected**: -0.752 eV per atom
**Total moment**: 2.00 Bohr magnetons per cell
**Calculated volume**: 1064 Å³ per cell

=====

KV5Te8 | PBE-GGA | relaxed

Cell lengths 10.3418, 10.3418, 9.5593 Å; angles 104.45, 104.45, 22.13 degrees
Closest atoms and distances in Å follow each position.
Atoms (fractional coordinates):
K (0.0000, 0.0000, 0.0000)  10 Te 3.68-3.99, 2 K 3.97
V (0.1511, 0.1511, 0.4926)  6 Te 2.69-2.86
V (0.2025, 0.2025, 0.8316)  6 Te 2.69-2.84
V (0.4878, 0.4878, 0.4973)  6 Te 2.70-2.83
V (0.7828, 0.7828, 0.1508)  6 Te 2.66-2.87
V (0.8458, 0.8458, 0.5008)  6 Te 2.66-2.92
Te (0.0650, 0.0650, 0.6647)  4 V 2.69-2.84
Te (0.2556, 0.2556, 0.3406)  5 V 2.84-2.87
Te (0.3299, 0.3299, 0.0031)  3 V 2.69-2.74
Te (0.4071, 0.4071, 0.6825)  3 V 2.70-2.72
Te (0.5809, 0.5809, 0.3220)  3 V 2.73-2.83
Te (0.6562, 0.6562, 0.9844)  3 V 2.66-2.77
Te (0.7379, 0.7379, 0.6524)  5 V 2.83-2.92
Te (0.9228, 0.9228, 0.3135)  4 V 2.66-2.87

Computed properties:
**Energy relative to the elements, uncorrected**: -0.403 eV per atom
**Total moment**: 10.04 Bohr magnetons per cell
**Calculated volume**: 372 Å³ per cell

=====

KV2Te | PBE-GGA | relaxed

Cell lengths 10.4442, 10.4442, 10.4442 Å; angles 154.18, 154.18, 36.84 degrees
Closest atoms and distances in Å follow each position.
Atoms (fractional coordinates):
K (0.3750, 0.6250, 0.7500)  4 Te 3.30, 8 V 3.60
K (0.6250, 0.3750, 0.2500)  4 Te 3.30, 8 V 3.60
V (0.0000, 0.0000, 0.0000)  2 V 2.33
V (0.0000, 0.0000, 0.5000)  2 V 2.33
V (0.0000, 0.5000, 0.0000)  2 V 2.33
V (0.5000, 0.0000, 0.5000)  2 V 2.33
Te (0.1250, 0.8750, 0.2500)  4 V 2.74
Te (0.8750, 0.1250, 0.7500)  4 V 2.74

Computed properties:
**Energy relative to the elements, uncorrected**: 0.697 eV per atom
**Total moment**: 3.53 Bohr magnetons per cell
**Calculated volume**: 216 Å³ per cell

=====

K2V2Te | PBE-GGA | relaxed

Cell lengths 8.0781, 8.0781, 5.1714 Å; angles 90.00, 90.00, 90.00 degrees
Closest atoms and distances in Å follow each position.
Atoms (fractional coordinates):
K (0.1310, 0.3690, 0.0000)  1 K 2.99, 2 Te 3.16
K (0.3690, 0.8690, 0.0000)  1 K 2.99, 2 Te 3.16
K (0.6310, 0.1310, 0.0000)  1 K 2.99, 2 Te 3.16
K (0.8690, 0.6310, 0.0000)  1 K 2.99, 2 Te 3.16
V (0.1794, 0.6794, 0.5000)  6 K 3.37-3.62
V (0.3206, 0.1794, 0.5000)  6 K 3.37-3.62
V (0.6794, 0.8206, 0.5000)  6 K 3.37-3.62
V (0.8206, 0.3206, 0.5000)  6 K 3.37-3.62
Te (0.0000, 0.0000, 0.0000)  4 K 3.16
Te (0.5000, 0.5000, 0.0000)  4 K 3.16

Computed properties:
**Polymorph energy (0 for the lowest one)**: 846 meV per atom
**Energy relative to the elements, uncorrected**: 1.207 eV per atom
**Total moment**: 16.04 Bohr magnetons per cell
**Calculated volume**: 337 Å³ per cell